The following is a GGA-PBE calculation of a relaxed structure of Er2ScBi2O2, from the Alexandria database.

Computed properties:
SG = I4/mmm (139)
E_form (uncorrected) = -1841 meV per atom
Energy = -6.574 eV per atom

Unit cell a=8.8257 b=8.8257 c=8.8257 alpha=152.92 beta=152.92 gamma=38.67
Element x y z (fractional)
Er 0.1049 0.1049 0.0000
Er 0.8951 0.8951 0.0000
Sc 0.5000 0.5000 0.0000
Bi 0.3128 0.3128 0.0000
Bi 0.6872 0.6872 0.0000
O 0.0000 0.5000 0.5000
O 0.5000 0.0000 0.5000


The following is a GGA-PBE calculation of a relaxed structure of CsSrP, from the Alexandria database.

Computed properties:
SG = P6_3/mmc (194)
Energy relative to the elements = 0.245 eV per atom
Energy = -2.403 eV per atom

Unit cell a=7.3312 b=7.3312 c=10.9992 alpha=90.00 beta=90.00 gamma=120.00
Element x y z (fractional)
Cs 0.3333 0.6667 0.2500
Cs 0.6667 0.3333 0.7500
Sr 0.0000 0.0000 0.2500
Sr 0.0000 0.0000 0.7500
P 0.0000 0.0000 0.0000
P 0.0000 0.0000 0.5000


The following is a GGA-PBE calculation of a relaxed structure of KAc3Pm2Te6, from the Alexandria database.

Computed properties:
SG = C2/m (12)
E_form (uncorrected) = -1436 meV per atom
Energy = -4.917 eV per atom

Unit cell a=10.4100 b=10.4100 c=9.3633 alpha=102.31 beta=102.31 gamma=25.82
Element x y z (fractional)
K 0.0000 0.0000 0.0000
Ac 0.0000 0.0000 0.5000
Ac 0.3382 0.3382 0.1714
Ac 0.6618 0.6618 0.8286
Pm 0.3290 0.3290 0.6519
Pm 0.6710 0.6710 0.3481
Te 0.1685 0.1685 0.5784
Te 0.1703 0.1703 0.0983
Te 0.4919 0.4919 0.7444
Te 0.5081 0.5081 0.2556
Te 0.8297 0.8297 0.9017
Te 0.8315 0.8315 0.4216


The following is a GGA-PBE calculation of a relaxed structure of Ac6SmMg, from the Alexandria database.

Computed properties:
SG = I4/mmm (139)
Energy relative to the elements = 0.028 eV per atom
Energy = -3.842 eV per atom

Unit cell a=11.3291 b=11.3291 c=11.3291 alpha=151.67 beta=151.67 gamma=40.49
Element x y z (fractional)
Ac 0.1168 0.6168 0.5000
Ac 0.2502 0.2502 0.0000
Ac 0.3832 0.8832 0.5000
Ac 0.6168 0.1168 0.5000
Ac 0.7498 0.7498 0.0000
Ac 0.8832 0.3832 0.5000
Sm 0.0000 0.0000 0.0000
Mg 0.5000 0.5000 0.0000


The following is a GGA-PBE calculation of a relaxed structure of Pm7Sm4Ho, from the Alexandria database.

Computed properties:
SG = C2/m (12)
Energy relative to the elements = 0.217 eV per atom
Energy = -4.509 eV per atom
E above lowest polymorph = 19.7 kJ per mole of atoms

Unit cell a=8.7063 b=8.7063 c=9.3839 alpha=114.28 beta=114.28 gamma=40.48
Element x y z (fractional)
Pm 0.0000 0.0000 0.0000
Pm 0.2901 0.2901 0.1229
Pm 0.2924 0.2924 0.7744
Pm 0.4185 0.4185 0.5614
Pm 0.5815 0.5815 0.4386
Pm 0.7076 0.7076 0.2256
Pm 0.7099 0.7099 0.8771
Sm 0.0737 0.0737 0.6997
Sm 0.1735 0.1735 0.3892
Sm 0.8265 0.8265 0.6108
Sm 0.9263 0.9263 0.3003
Ho 0.5000 0.5000 0.0000


The following is a GGA-PBE calculation of a relaxed structure of UNi4Bi, from the Alexandria database.

Computed properties:
SG = F-43m (216)
Energy relative to the elements = -0.069 eV per atom
Energy = -6.452 eV per atom

Unit cell a=5.0648 b=5.0648 c=5.0648 alpha=60.00 beta=60.00 gamma=60.00
Element x y z (fractional)
U 0.0000 0.0000 0.0000
Ni 0.3743 0.3743 0.3743
Ni 0.3743 0.3743 0.8772
Ni 0.3743 0.8772 0.3743
Ni 0.8772 0.3743 0.3743
Bi 0.7500 0.7500 0.7500


The following is a GGA-PBE calculation of a relaxed structure of RbZrCu3, from the Alexandria database.

Computed properties:
SG = Pm-3m (221)
Energy relative to the elements = 1.805 eV per atom
Energy = -2.556 eV per atom
E above lowest polymorph = 91.6 kJ per mole of atoms

Unit cell a=4.9716 b=4.9716 c=4.9716 alpha=90.00 beta=90.00 gamma=90.00
Element x y z (fractional)
Rb 0.0000 0.0000 0.0000
Zr 0.5000 0.5000 0.5000
Cu 0.0000 0.0000 0.5000
Cu 0.0000 0.5000 0.0000
Cu 0.5000 0.0000 0.0000


The following is a GGA-PBE calculation of a relaxed structure of BaMgIn2Os, from the Alexandria database.

Computed properties:
SG = P4/mmm (123)
Energy relative to the elements = -0.112 eV per atom
Energy = -4.157 eV per atom

Unit cell a=5.2359 b=5.2359 c=5.1756 alpha=90.00 beta=90.00 gamma=90.00
Element x y z (fractional)
Ba 0.0000 0.0000 0.0000
Mg 0.5000 0.5000 0.0000
In 0.0000 0.5000 0.5000
In 0.5000 0.0000 0.5000
Os 0.5000 0.5000 0.5000


The following is a GGA-PBE calculation of a relaxed structure of Mn2TeOs, from the Alexandria database.

Computed properties:
SG = I-42d (122)
E_form (uncorrected) = 921 meV per atom
Energy = -7.257 eV per atom

Unit cell a=6.7912 b=6.7912 c=6.7912 alpha=132.65 beta=132.65 gamma=69.21
Element x y z (fractional)
Mn 0.0880 0.6250 0.9630
Mn 0.3750 0.3380 0.4630
Mn 0.6620 0.1250 0.0370
Mn 0.8750 0.9120 0.5370
Te 0.2500 0.7500 0.5000
Te 0.5000 0.5000 0.0000
Os 0.0000 0.0000 0.0000
Os 0.7500 0.2500 0.5000


The following is a GGA-PBE calculation of a relaxed structure of Dy2Tm3In3, from the Alexandria database.

Computed properties:
SG = Immm (71)
Energy relative to the elements = -0.336 eV per atom
Energy = -4.190 eV per atom

Unit cell a=10.5560 b=10.5560 c=10.5560 alpha=155.66 beta=153.53 gamma=36.26
Element x y z (fractional)
Dy 0.2403 0.2403 0.0000
Dy 0.7597 0.7597 0.0000
Tm 0.0000 0.0000 0.0000
Tm 0.3815 0.8815 0.5000
Tm 0.6185 0.1185 0.5000
In 0.1245 0.6245 0.5000
In 0.5000 0.5000 0.0000
In 0.8755 0.3755 0.5000


The following is a GGA-PBE calculation of a relaxed structure of Cs2RbMnI6, from the Alexandria database.

Computed properties:
SG = I4/mmm (139)
E_form (uncorrected) = -1006 meV per atom
Energy = -3.121 eV per atom
E above lowest polymorph = 3.3 kJ per mole of atoms

Unit cell a=8.8758 b=8.8758 c=8.8758 alpha=119.97 beta=119.97 gamma=90.05
Element x y z (fractional)
Cs 0.2500 0.7500 0.5000
Cs 0.7500 0.2500 0.5000
Rb 0.0000 0.0000 0.0000
Mn 0.5000 0.5000 0.0000
I 0.2777 0.2777 0.0000
I 0.2776 0.2776 0.5552
I 0.2776 0.7224 0.0000
I 0.7224 0.2776 0.0000
I 0.7223 0.7223 0.0000
I 0.7224 0.7224 0.4448


The following is a GGA-PBE calculation of a relaxed structure of In2HgMo, from the Alexandria database.

Computed properties:
SG = Cm (8)
Energy relative to the elements = 0.362 eV per atom
Energy = -3.790 eV per atom

Unit cell a=5.7452 b=5.7452 c=5.1881 alpha=100.39 beta=100.39 gamma=30.04
Element x y z (fractional)
In 0.0000 0.0000 0.0000
In 0.2065 0.2065 0.6467
Hg 0.4412 0.4412 0.4692
Mo 0.7390 0.7390 0.1470


The following is a GGA-PBE calculation of a relaxed structure of HgMoAs2, from the Alexandria database.

Computed properties:
SG = I4/mmm (139)
Energy relative to the elements = 0.509 eV per atom
Energy = -4.599 eV per atom

Unit cell a=5.0213 b=5.0213 c=5.0213 alpha=129.15 beta=129.15 gamma=74.78
Element x y z (fractional)
Hg 0.0000 0.0000 0.0000
Mo 0.5000 0.5000 0.0000
As 0.2500 0.7500 0.5000
As 0.7500 0.2500 0.5000


The following is a GGA-PBE calculation of a relaxed structure of InSeI2, from the Alexandria database.

Computed properties:
SG = I-42d (122)
E_form (uncorrected) = 118 meV per atom
Energy = -2.213 eV per atom
E above lowest polymorph = 31.0 kJ per mole of atoms

Unit cell a=10.3100 b=10.3100 c=10.3100 alpha=144.41 beta=144.41 gamma=51.22
Element x y z (fractional)
In 0.0000 0.0000 0.0000
In 0.7500 0.2500 0.5000
Se 0.2500 0.7500 0.5000
Se 0.5000 0.5000 0.0000
I 0.2070 0.6250 0.0820
I 0.3750 0.4570 0.5820
I 0.5430 0.1250 0.9180
I 0.8750 0.7930 0.4180


The following is a GGA-PBE calculation of a relaxed structure of CaSnAu3, from the Alexandria database.

Computed properties:
SG = Pm-3m (221)
Energy relative to the elements = -0.129 eV per atom
Energy = -3.296 eV per atom
E above lowest polymorph = 32.8 kJ per mole of atoms

Unit cell a=5.2142 b=5.2142 c=5.2142 alpha=90.00 beta=90.00 gamma=90.00
Element x y z (fractional)
Ca 0.0000 0.0000 0.0000
Sn 0.5000 0.5000 0.5000
Au 0.0000 0.5000 0.5000
Au 0.5000 0.0000 0.5000
Au 0.5000 0.5000 0.0000


The following is a GGA-PBE calculation of a relaxed structure of MgBrCl2, from the Alexandria database.

Computed properties:
SG = C2/m (12)
E_form (uncorrected) = -1028 meV per atom
Energy = -2.768 eV per atom
E above lowest polymorph = 15.1 kJ per mole of atoms

Unit cell a=6.6894 b=6.6894 c=6.5477 alpha=112.64 beta=112.64 gamma=28.88
Element x y z (fractional)
Mg 0.0000 0.0000 0.0000
Br 0.5000 0.5000 0.5000
Cl 0.3582 0.3582 0.8468
Cl 0.6418 0.6418 0.1532


The following is a GGA-PBE calculation of a relaxed structure of SrTaAu2, from the Alexandria database.

Computed properties:
SG = Imm2 (44)
Energy relative to the elements = 0.153 eV per atom
Energy = -4.869 eV per atom
E above lowest polymorph = 27.2 kJ per mole of atoms

Unit cell a=6.2637 b=6.2637 c=6.2637 alpha=151.09 beta=132.06 gamma=56.95
Element x y z (fractional)
Sr 0.0000 0.0000 0.0000
Ta 0.2848 0.7848 0.5000
Au 0.5000 0.5000 0.0000
Au 0.7318 0.2318 0.5000


The following is a GGA-PBE calculation of a relaxed structure of HoMg7Cd5, from the Alexandria database.

Computed properties:
SG = Imm2 (44)
Energy relative to the elements = -0.112 eV per atom
Energy = -1.675 eV per atom

Unit cell a=7.6466 b=7.6466 c=7.6466 alpha=134.66 beta=98.40 gamma=98.68
Element x y z (fractional)
Ho 0.0000 0.0000 0.0000
Mg 0.2064 0.4950 0.7114
Mg 0.2115 0.7115 0.5000
Mg 0.3475 0.9979 0.3497
Mg 0.3495 0.3495 0.0000
Mg 0.6482 0.9979 0.6503
Mg 0.6512 0.6512 0.0000
Mg 0.7835 0.4950 0.2886
Cd 0.4909 0.4939 0.4964
Cd 0.4909 0.9946 0.9970
Cd 0.7926 0.2926 0.5000
Cd 0.9975 0.4939 0.0030
Cd 0.9975 0.9946 0.5036


The following is a GGA-PBE calculation of a relaxed structure of RbSbSe4, from the Alexandria database.

Computed properties:
SG = P-1 (2)
E_form (uncorrected) = -357 meV per atom
Energy = -3.529 eV per atom

Unit cell a=6.7347 b=7.7425 c=8.6712 alpha=115.76 beta=112.83 gamma=90.08
Element x y z (fractional)
Rb 0.1583 0.2504 0.0005
Rb 0.8417 0.7496 0.9995
Sb 0.0000 0.5000 0.5000
Sb 0.5000 0.0000 0.5000
Se 0.0855 0.1259 0.4725
Se 0.2843 0.5845 0.8791
Se 0.3881 0.6269 0.4737
Se 0.4053 0.9160 0.1210
Se 0.5947 0.0840 0.8790
Se 0.6119 0.3731 0.5263
Se 0.7157 0.4155 0.1209
Se 0.9145 0.8741 0.5275


The following is a GGA-PBE calculation of a relaxed structure of PrLuSnAu, from the Alexandria database.

Computed properties:
SG = F-43m (216)
Energy relative to the elements = -0.668 eV per atom
Energy = -4.814 eV per atom

Unit cell a=5.2838 b=5.2838 c=5.2838 alpha=60.00 beta=60.00 gamma=60.00
Element x y z (fractional)
Pr 0.0000 0.0000 0.0000
Lu 0.5000 0.5000 0.5000
Sn 0.7500 0.7500 0.7500
Au 0.2500 0.2500 0.2500


The following is a GGA-PBE calculation of a relaxed structure of GaPd4Pt3, from the Alexandria database.

Computed properties:
SG = C2/m (12)
Energy relative to the elements = -0.231 eV per atom
Energy = -5.471 eV per atom
E above lowest polymorph = 0.0 kJ per mole of atoms

Unit cell a=4.8377 b=4.8377 c=7.8476 alpha=114.20 beta=114.20 gamma=48.35
Element x y z (fractional)
Ga 0.0000 0.0000 0.0000
Pd 0.2474 0.2474 0.8760
Pd 0.2486 0.2486 0.3705
Pd 0.7514 0.7514 0.6295
Pd 0.7526 0.7526 0.1240
Pt 0.0000 0.0000 0.5000
Pt 0.4982 0.4982 0.7555
Pt 0.5018 0.5018 0.2445


The following is a GGA-PBE calculation of a relaxed structure of ThTlIr4, from the Alexandria database.

Computed properties:
SG = F-43m (216)
Energy relative to the elements = -0.338 eV per atom
Energy = -7.877 eV per atom

Unit cell a=5.4128 b=5.4128 c=5.4128 alpha=60.00 beta=60.00 gamma=60.00
Element x y z (fractional)
Th 0.0000 0.0000 0.0000
Tl 0.7500 0.7500 0.7500
Ir 0.3757 0.3757 0.3757
Ir 0.3757 0.3757 0.8728
Ir 0.3757 0.8728 0.3757
Ir 0.8728 0.3757 0.3757


The following is a GGA-PBE calculation of a relaxed structure of Pr2Sm7Y, from the Alexandria database.

Computed properties:
SG = Cmmm (65)
Energy relative to the elements = 0.147 eV per atom
Energy = -4.759 eV per atom
E above lowest polymorph = 8.6 kJ per mole of atoms

Unit cell a=15.0755 b=15.0755 c=3.5113 alpha=90.00 beta=90.00 gamma=154.30
Element x y z (fractional)
Pr 0.2050 0.7950 0.0000
Pr 0.7950 0.2050 0.0000
Sm 0.0000 0.0000 0.0000
Sm 0.1574 0.3533 0.0000
Sm 0.3130 0.6870 0.5000
Sm 0.3533 0.1574 0.0000
Sm 0.6467 0.8426 0.0000
Sm 0.6870 0.3130 0.5000
Sm 0.8426 0.6467 0.0000
Y 0.5000 0.5000 0.5000


The following is a GGA-PBE calculation of a relaxed structure of Ti2In2Bi, from the Alexandria database.

Computed properties:
SG = P4/mbm (127)
Energy relative to the elements = -0.044 eV per atom
Energy = -5.074 eV per atom
E above lowest polymorph = 0.0 kJ per mole of atoms

Unit cell a=7.1973 b=7.1973 c=4.3247 alpha=90.00 beta=90.00 gamma=90.00
Element x y z (fractional)
Ti 0.1418 0.3582 0.0000
Ti 0.3582 0.8582 0.0000
Ti 0.6418 0.1418 0.0000
Ti 0.8582 0.6418 0.0000
In 0.1558 0.6558 0.5000
In 0.3442 0.1558 0.5000
In 0.6558 0.8442 0.5000
In 0.8442 0.3442 0.5000
Bi 0.0000 0.0000 0.0000
Bi 0.5000 0.5000 0.0000


The following is a GGA-PBE calculation of a relaxed structure of Ce4Ga12Cu, from the Alexandria database.

Computed properties:
SG = Im-3m (229)
Energy relative to the elements = -0.514 eV per atom
Energy = -4.288 eV per atom

Unit cell a=7.5836 b=7.5836 c=7.5836 alpha=109.47 beta=109.47 gamma=109.47
Element x y z (fractional)
Ce 0.0000 0.0000 0.5000
Ce 0.0000 0.5000 0.0000
Ce 0.5000 0.0000 0.0000
Ce 0.5000 0.5000 0.5000
Ga 0.0000 0.2965 0.2965
Ga 0.0000 0.7035 0.7035
Ga 0.2500 0.5000 0.7500
Ga 0.2500 0.7500 0.5000
Ga 0.2965 0.0000 0.2965
Ga 0.2965 0.2965 0.0000
Ga 0.5000 0.2500 0.7500
Ga 0.5000 0.7500 0.2500
Ga 0.7035 0.0000 0.7035
Ga 0.7035 0.7035 0.0000
Ga 0.7500 0.2500 0.5000
Ga 0.7500 0.5000 0.2500
Cu 0.0000 0.0000 0.0000